## Ba3AcPr2Se6 (GGA-PBE)

Data for a relaxed Ba3AcPr2Se6 crystal.

Cell: 7.739 13.392 7.923 Å, 90.00 109.01 90.00°
Space group C2/m (No. 12)
Unique sites:
Ba: 0.000 0.000 0.000 (multiplicity 2)
Ba: 0.000 0.335 0.000 (multiplicity 4)
Ac: 0.000 0.500 0.500 (multiplicity 2)
Pr: 0.000 0.167 0.500 (multiplicity 4)
Se: 0.236 0.000 0.727 (multiplicity 4)
Se: 0.246 0.330 0.728 (multiplicity 8)

Output
VASP energy = -5.29 eV/atom